Entry 1:
A plane-wave DFT calculation with PBE was carried out for a geometry-optimized Ga12Te5As3 structure.

Structure (CIF):
```
data_Ga12Te5As3
_cell_length_a 16.574
_cell_length_b 16.574
_cell_length_c 16.574
_cell_angle_alpha 90.00
_cell_angle_beta 90.00
_cell_angle_gamma 90.00
_symmetry_space_group_name_H-M 'I a -3 d'
_symmetry_Int_Tables_number 230
_symmetry_space_group_name_Hall '-I 4bd 2c 3'
loop_
_atom_site_label
_atom_site_fract_x
_atom_site_fract_y
_atom_site_fract_z
_atom_site_occupancy
Ga1 0.001 0.071 0.160 1
Te1 0.000 0.000 0.000 1
Te2 0.000 0.250 0.375 1
As1 0.000 0.250 0.125 1
```

Output
For the theoretical density, the calculation gives 4959 kg/m3. For the magnetization, the calculation gives 0.00 μB/f.u. Its uncorrected formation energy is 0.419 eV/f.u. The calculated total energy comes out at -3.278 eV per atom.



Entry 2:
A plane-wave DFT calculation with PBE was carried out for a geometry-optimized Ga3Te3As structure.

Structure (CIF):
```
data_Ga3Te3As
_cell_length_a 13.888
_cell_length_b 4.164
_cell_length_c 7.294
_cell_angle_alpha 90.00
_cell_angle_beta 99.05
_cell_angle_gamma 90.00
_symmetry_space_group_name_H-M 'C 1 m 1'
_symmetry_Int_Tables_number 8
loop_
_symmetry_equiv_pos_as_xyz
'x,y,z'
'x,-y,z'
'x+1/2,y+1/2,z'
'x+1/2,-y+1/2,z'
loop_
_atom_site_label
_atom_site_fract_x
_atom_site_fract_y
_atom_site_fract_z
_atom_site_occupancy
Ga1 0.000 0.000 0.000 1
Ga2 0.002 0.500 0.469 1
Ga3 0.248 0.500 0.247 1
Te1 0.190 0.500 0.566 1
Te2 0.194 0.000 0.016 1
Te3 0.422 0.000 0.792 1
As1 0.432 0.500 0.299 1
```

Output
For the theoretical density, the calculation gives 5317 kg/m3. For the magnetization, the calculation gives 0.00 μB/f.u. Its uncorrected formation energy is -2.174 eV/f.u. The calculated total energy comes out at -3.618 eV per atom. The calculation puts the polymorph energy (0 for the lowest one) at 5 meV/atom.



Entry 3:
A plane-wave DFT calculation with PBE was carried out for a geometry-optimized Ga2Te6As structure.

Structure (CIF):
```
data_Ga2Te6As
_cell_length_a 12.921
_cell_length_b 12.214
_cell_length_c 7.415
_cell_angle_alpha 90.00
_cell_angle_beta 102.10
_cell_angle_gamma 90.00
_symmetry_space_group_name_H-M 'C 1 2/c 1'
_symmetry_Int_Tables_number 15
loop_
_symmetry_equiv_pos_as_xyz
'x,y,z'
'-x,-y,-z'
'-x,y,-z+1/2'
'x,-y,z+1/2'
'x+1/2,y+1/2,z'
'-x+1/2,-y+1/2,-z'
'-x+1/2,y+1/2,-z+1/2'
'x+1/2,-y+1/2,z+1/2'
loop_
_atom_site_label
_atom_site_fract_x
_atom_site_fract_y
_atom_site_fract_z
_atom_site_occupancy
Ga1 0.185 0.093 0.291 1
Te1 0.090 0.076 0.586 1
Te2 0.107 0.396 0.630 1
Te3 0.171 0.293 0.147 1
As1 0.000 0.424 0.250 1
```

Output
For the theoretical density, the calculation gives 5689 kg/m3. For the magnetization, the calculation gives 0.00 μB/f.u. Its uncorrected formation energy is -0.543 eV/f.u. The calculated total energy comes out at -3.344 eV per atom.



Entry 4:
A plane-wave DFT calculation with PBE was carried out for a geometry-optimized GaTe2As2 structure.

Structure (CIF):
```
data_GaTe2As2
_cell_length_a 8.212
_cell_length_b 8.212
_cell_length_c 3.948
_cell_angle_alpha 90.00
_cell_angle_beta 90.00
_cell_angle_gamma 90.00
_symmetry_space_group_name_H-M 'P 4/m b m'
_symmetry_Int_Tables_number 127
_symmetry_space_group_name_Hall '-P 4 2ab'
loop_
_atom_site_label
_atom_site_fract_x
_atom_site_fract_y
_atom_site_fract_z
_atom_site_occupancy
Ga1 0.000 0.000 0.000 1
Te1 0.157 0.343 0.500 1
As1 0.185 0.685 0.000 1
```

Output
For the theoretical density, the calculation gives 5923 kg/m3. For the magnetization, the calculation gives 0.00 μB/f.u. Its uncorrected formation energy is 0.671 eV/f.u. The calculated total energy comes out at -3.588 eV per atom.



Entry 5:
A plane-wave DFT calculation with PBE was carried out for a geometry-optimized Ga2TeAs structure.

Structure (CIF):
```
data_Ga2TeAs
_cell_length_a 3.9650
_cell_length_b 3.9650
_cell_length_c 19.7207
_cell_angle_alpha 90.00
_cell_angle_beta 90.00
_cell_angle_gamma 120.00
_symmetry_space_group_name_H-M 'R -3 m'
_symmetry_Int_Tables_number 166
_symmetry_space_group_name_Hall '-R 3 2"'
loop_
_atom_site_label
_atom_site_fract_x
_atom_site_fract_y
_atom_site_fract_z
_atom_site_occupancy
Ga1 0.0000 0.0000 0.2395 1
Te1 0.0000 0.0000 0.0000 1
As1 0.0000 0.0000 0.5000 1
```

Output
For the theoretical density, the calculation gives 6345 kg/m3. For the magnetization, the calculation gives 0.00 μB/f.u. Its uncorrected formation energy is -0.553 eV/f.u. The calculated total energy comes out at -3.599 eV per atom. The calculation puts the polymorph energy (0 for the lowest one) at 18 meV/atom.



Entry 6:
A plane-wave DFT calculation with PBE was carried out for a geometry-optimized Ga2TeAs structure.

Structure (CIF):
```
data_Ga2TeAs
_cell_length_a 6.252
_cell_length_b 6.252
_cell_length_c 12.104
_cell_angle_alpha 90.00
_cell_angle_beta 90.00
_cell_angle_gamma 90.00
_symmetry_space_group_name_H-M 'I -4 2 d'
_symmetry_Int_Tables_number 122
_symmetry_space_group_name_Hall 'I -4 2bw'
loop_
_atom_site_label
_atom_site_fract_x
_atom_site_fract_y
_atom_site_fract_z
_atom_site_occupancy
Ga1 0.214 0.250 0.125 1
Te1 0.000 0.000 0.500 1
As1 0.000 0.000 0.000 1
```

Output
For the theoretical density, the calculation gives 4801 kg/m3. For the magnetization, the calculation gives 0.00 μB/f.u. Its uncorrected formation energy is -0.626 eV/f.u. The calculated total energy comes out at -3.618 eV per atom. The calculation puts the polymorph energy (0 for the lowest one) at 0 meV/atom.



Entry 7:
A plane-wave DFT calculation with PBE was carried out for a geometry-optimized Th8GaTe4As3 structure.

Structure (CIF):
```
data_Th8GaTe4As3
_cell_length_a 8.6437
_cell_length_b 8.6437
_cell_length_c 22.0463
_cell_angle_alpha 90.00
_cell_angle_beta 90.00
_cell_angle_gamma 120.00
_symmetry_space_group_name_H-M 'R -3 m'
_symmetry_Int_Tables_number 166
_symmetry_space_group_name_Hall '-R 3 2"'
loop_
_atom_site_label
_atom_site_fract_x
_atom_site_fract_y
_atom_site_fract_z
_atom_site_occupancy
Th1 0.0000 0.0000 0.2394 1
Th2 0.9996 0.4998 0.2393 1
Ga1 0.0000 0.0000 0.5000 1
Te1 0.0000 0.0000 0.0000 1
Te2 0.0000 0.5000 0.0000 1
As1 0.0000 0.5000 0.5000 1
```

Output
For the theoretical density, the calculation gives 9294 kg/m3. For the magnetization, the calculation gives 0.00 μB/f.u. Its uncorrected formation energy is -18.226 eV/f.u. The calculated total energy comes out at -6.695 eV per atom.



Entry 8:
A plane-wave DFT calculation with PBE was carried out for a geometry-optimized Th4GaTeAs2 structure.

Structure (CIF):
```
data_Th4GaTeAs2
_cell_length_a 7.498
_cell_length_b 4.318
_cell_length_c 7.522
_cell_angle_alpha 90.00
_cell_angle_beta 109.21
_cell_angle_gamma 90.00
_symmetry_space_group_name_H-M 'P 1 2/m 1'
_symmetry_Int_Tables_number 10
loop_
_symmetry_equiv_pos_as_xyz
'x,y,z'
'-x,-y,-z'
'-x,y,-z'
'x,-y,z'
loop_
_atom_site_label
_atom_site_fract_x
_atom_site_fract_y
_atom_site_fract_z
_atom_site_occupancy
Th1 0.232 0.000 0.231 1
Th2 0.241 0.500 0.758 1
Ga1 0.500 0.000 0.000 1
Te1 0.500 0.500 0.500 1
As1 0.000 0.000 0.500 1
As2 0.000 0.500 0.000 1
```

Output
For the theoretical density, the calculation gives 9208 kg/m3. For the magnetization, the calculation gives 0.00 μB/f.u. Its uncorrected formation energy is -8.461 eV/f.u. The calculated total energy comes out at -6.701 eV per atom.



Entry 9:
A plane-wave DFT calculation with PBE was carried out for a geometry-optimized Tm8Ga3Te4As structure.

Structure (CIF):
```
data_Tm8Ga3Te4As
_cell_length_a 8.2705
_cell_length_b 8.2705
_cell_length_c 21.5165
_cell_angle_alpha 90.00
_cell_angle_beta 90.00
_cell_angle_gamma 120.00
_symmetry_space_group_name_H-M 'R -3 m'
_symmetry_Int_Tables_number 166
_symmetry_space_group_name_Hall '-R 3 2"'
loop_
_atom_site_label
_atom_site_fract_x
_atom_site_fract_y
_atom_site_fract_z
_atom_site_occupancy
Tm1 0.0000 0.0000 0.2436 1
Tm2 0.0004 0.5002 0.2410 1
Ga1 0.0000 0.5000 0.5000 1
Te1 0.0000 0.0000 0.0000 1
Te2 0.0000 0.5000 0.0000 1
As1 0.0000 0.0000 0.5000 1
```

Output
For the theoretical density, the calculation gives 8387 kg/m3. For the magnetization, the calculation gives 0.00 μB/f.u. Its uncorrected formation energy is -16.184 eV/f.u. The calculated total energy comes out at -4.891 eV per atom.



Entry 10:
A plane-wave DFT calculation with PBE was carried out for a geometry-optimized Tm6GaTe3As2 structure.

Structure (CIF):
```
data_Tm6GaTe3As2
_cell_length_a 18.454
_cell_length_b 4.132
_cell_length_c 8.546
_cell_angle_alpha 90.00
_cell_angle_beta 104.53
_cell_angle_gamma 90.00
_symmetry_space_group_name_H-M 'C 1 2/m 1'
_symmetry_Int_Tables_number 12
loop_
_symmetry_equiv_pos_as_xyz
'x,y,z'
'-x,-y,-z'
'-x,y,-z'
'x,-y,z'
'x+1/2,y+1/2,z'
'-x+1/2,-y+1/2,-z'
'-x+1/2,y+1/2,-z'
'x+1/2,-y+1/2,z'
loop_
_atom_site_label
_atom_site_fract_x
_atom_site_fract_y
_atom_site_fract_z
_atom_site_occupancy
Tm1 0.005 0.000 0.232 1
Tm2 0.158 0.500 0.098 1
Tm3 0.174 0.500 0.566 1
Ga1 0.000 0.500 0.000 1
Te1 0.000 0.500 0.500 1
Te2 0.169 0.000 0.832 1
As1 0.167 0.000 0.335 1
```

Output
For the theoretical density, the calculation gives 8509 kg/m3. For the magnetization, the calculation gives 0.00 μB/f.u. Its uncorrected formation energy is -15.116 eV/f.u. The calculated total energy comes out at -5.308 eV per atom.